This record from Alexandria describes a relaxed structure of GdPuAu2. The functional is GGA-PBE.

Summary:
The calculation puts the energy above the most stable polymorph in this dataset at 20.7 meV per atom. The value obtained for the formation energy is -0.595 eV per atom. The density of states at the Fermi level is 11.47 states/eV per cell. The spin magnetization is 3.223 μB/atom.

Structure (POSCAR):
```
GdPuAu2
1.0
0.0000 3.6408 3.6408
3.6408 0.0000 3.6408
3.6408 3.6408 0.0000
Gd Pu Au
1 1 2
Direct
0.0000 0.0000 0.0000
0.5000 0.5000 0.5000
0.2500 0.2500 0.2500
0.7500 0.7500 0.7500
```



This record from Alexandria describes a relaxed structure of PrPH2Ru. The functional is GGA-PBE.

Summary:
As for the total DFT energy (no corrections): -5.869 eV/atom. The density of states at the Fermi level is 2.03 states/eV per cell. The spin magnetization is 0.000 μB/atom.

Structure (POSCAR):
```
PrPH2Ru
1.0
1.9663 -5.2620 0.0000
1.9663 5.2620 0.0000
0.0000 0.0000 6.0317
Pr P H Ru
2 2 4 2
Direct
0.2125 0.7875 0.7500
0.7875 0.2125 0.2500
0.0657 0.9343 0.2500
0.9343 0.0657 0.7500
0.3403 0.6597 0.0617
0.3403 0.6597 0.4383
0.6597 0.3403 0.5617
0.6597 0.3403 0.9383
0.5000 0.5000 0.0000
0.5000 0.5000 0.5000
```



This record from Alexandria describes a relaxed structure of CoRh2W. The functional is GGA-PBE.

Summary:
The calculation puts the energy above the most stable polymorph in this dataset at 122.7 meV per atom. The value obtained for the formation energy is -0.018 eV per atom. The density of states at the Fermi level is 4.22 states/eV per cell. The spin magnetization is 0.469 μB/atom.

Structure (POSCAR):
```
CoRh2W
1.0
2.7081 -3.7717 0.0000
2.7081 3.7717 0.0000
0.0000 0.0000 2.7371
Co Rh W
1 2 1
Direct
0.0000 0.0000 0.0000
0.0000 0.5000 0.5000
0.5000 0.0000 0.5000
0.5000 0.5000 0.0000
```



This record from Alexandria describes a relaxed structure of Sr3HoSe4. The functional is GGA-PBE.

Summary:
As for the total DFT energy (no corrections): -4.893 eV/atom. The density of states at the Fermi level is 2.68 states/eV per cell. The spin magnetization is 0.000 μB/atom.

Structure (POSCAR):
```
Sr3HoSe4
1.0
4.3522 -6.1245 0.0000
4.3522 6.1245 0.0000
0.0000 0.0000 4.3128
Sr Ho Se
3 1 4
Direct
0.0000 0.0000 0.0000
0.0000 0.5000 0.5000
0.5000 0.0000 0.5000
0.5000 0.5000 0.0000
0.2600 0.7400 0.0000
0.2672 0.2672 0.5000
0.7328 0.7328 0.5000
0.7400 0.2600 0.0000
```



This record from Alexandria describes a relaxed structure of ZnSb2Te2. The functional is GGA-PBE.

Summary:
The calculation puts the energy above the most stable polymorph in this dataset at 146.2 meV per atom. The density of states at the Fermi level is 7.13 states/eV per cell. The spin magnetization is 0.000 μB/atom.

Structure (POSCAR):
```
ZnSb2Te2
1.0
8.0886 0.0000 0.0000
0.0000 8.0886 0.0000
0.0000 0.0000 4.4640
Zn Sb Te
2 4 4
Direct
0.0000 0.0000 0.0000
0.5000 0.5000 0.0000
0.1351 0.3649 0.5000
0.3649 0.8649 0.5000
0.6351 0.1351 0.5000
0.8649 0.6351 0.5000
0.1826 0.6826 0.0000
0.3174 0.1826 0.0000
0.6826 0.8174 0.0000
0.8174 0.3174 0.0000
```



This record from Alexandria describes a relaxed structure of Sm3Mg2Cd7. The functional is GGA-PBE.

Summary:
The calculation puts the energy above the most stable polymorph in this dataset at 13.2 meV per atom. The value obtained for the formation energy is -0.164 eV per atom. The density of states at the Fermi level is 9.19 states/eV per cell. The spin magnetization is 0.000 μB/atom.

Structure (POSCAR):
```
Sm3Mg2Cd7
1.0
4.9260 0.0000 0.0000
0.0000 4.0116 0.0000
-2.3713 0.0000 15.6344
Sm Mg Cd
3 2 7
Direct
0.0000 0.0000 0.0000
0.3127 0.5000 0.6315
0.6873 0.5000 0.3685
0.1443 0.0000 0.2797
0.8557 0.0000 0.7203
0.0808 0.5000 0.1530
0.2287 0.0000 0.4555
0.4103 0.0000 0.8303
0.5000 0.5000 0.0000
0.5897 0.0000 0.1697
0.7713 0.0000 0.5445
0.9192 0.5000 0.8470
```



Q: Look up the spin magnetization of the second one.
A: 0.000 μB/atom



Q: Look up the spin magnetization of the fourth one.
A: 0.000 μB/atom